(1)
K2CuWSe4: relaxed, PBE.

Computed properties:
* N(E_F): 0.456 states/eV per atom
* space-group type: Fddd

Lattice parameters (Å, degrees): 5.6363 7.5100 12.4720 85.14 76.94 67.96
Site moments in Bohr magnetons follow the coordinates.
Atoms (fractional coordinates):
K (0.1820, 0.0000, 0.6361)  0.00
K (0.8180, 0.0000, 0.3639)  0.00
K (0.5680, 0.5000, 0.8639)  0.00
K (0.9320, 0.5000, 0.1361)  0.00
Cu (0.7500, 0.5000, 0.5000)  0.01
Cu (0.0000, 0.0000, 0.0000)  0.01
W (0.2500, 0.5000, 0.5000)  0.66
W (0.5000, 0.0000, 0.0000)  0.66
Se (0.3014, 0.7987, 0.1152)  0.02
Se (0.2153, 0.2013, 0.8848)  0.02
Se (0.8999, 0.7987, 0.8848)  0.02
Se (0.5834, 0.2013, 0.1152)  0.02
Se (0.4486, 0.7013, 0.3848)  0.02
Se (0.5347, 0.2987, 0.6152)  0.02
Se (0.8501, 0.7013, 0.6152)  0.02
Se (0.1666, 0.2987, 0.3848)  0.02



(2)
KY2CuSe4: relaxed, PBE.

Computed properties:
* space-group type: Cmcm

Lattice parameters (Å, degrees): 4.1198 7.3447 14.3952 90.00 90.00 106.29
Atoms (fractional coordinates):
K (0.1124, 0.2249, 0.7500)
K (0.8876, 0.7751, 0.2500)
Y (0.3656, 0.7313, 0.5646)
Y (0.6344, 0.2687, 0.0646)
Y (0.6344, 0.2687, 0.4354)
Y (0.3656, 0.7313, 0.9354)
Cu (0.8404, 0.6808, 0.7500)
Cu (0.1596, 0.3192, 0.2500)
Se (0.2649, 0.5299, 0.1120)
Se (0.7351, 0.4701, 0.6120)
Se (0.7351, 0.4701, 0.8880)
Se (0.2649, 0.5299, 0.3880)
Se (0.0000, 0.0000, 0.5000)
Se (0.0000, 0.0000, 0.0000)
Se (0.4360, 0.8721, 0.7500)
Se (0.5640, 0.1279, 0.2500)



(3)
K2YbCu2Se4: relaxed, PBE.

Computed properties:
* N(E_F): 0.885 states/eV per atom
* space-group type: P-1

Lattice parameters (Å, degrees): 4.0330 7.9385 7.9333 108.99 104.68 90.04
Atoms (fractional coordinates):
K (0.1291, 0.5521, 0.2583)
K (0.8709, 0.4479, 0.7417)
Yb (0.0000, 0.0000, 0.0000)
Cu (0.6733, 0.9795, 0.3512)
Cu (0.3268, 0.0206, 0.6488)
Se (0.2038, 0.1701, 0.4102)
Se (0.7962, 0.8299, 0.5898)
Se (0.5228, 0.7576, 0.0465)
Se (0.4773, 0.2425, 0.9535)



(4)
KZnCuSe2: relaxed, PBE.

Computed properties:
* N(E_F): 0.000 states/eV per atom
* space-group type: Cmme

Lattice parameters (Å, degrees): 6.1204 6.1039 7.5375 113.89 90.00 90.00
Atoms (fractional coordinates):
K (0.2440, 0.7500, 0.5000)
K (0.7560, 0.2500, 0.5000)
Zn (0.5000, 0.7500, 0.0000)
Zn (0.5000, 0.2500, 0.0000)
Cu (0.0000, 0.0000, 0.0000)
Cu (0.0000, 0.5000, 0.0000)
Se (0.7191, 0.8907, 0.7814)
Se (0.7191, 0.6093, 0.2186)
Se (0.2809, 0.3907, 0.7814)
Se (0.2809, 0.1093, 0.2186)



(5)
KZrCu3Se4: relaxed, PBE.

Computed properties:
* space-group type: P-43m

Lattice parameters (Å, degrees): 6.2415 6.2415 6.2415 90.00 90.00 90.00
Atoms (fractional coordinates):
K (0.5000, 0.5000, 0.5000)
Zr (0.0000, 0.0000, 0.0000)
Cu (0.0000, 0.5000, 0.0000)
Cu (0.0000, 0.0000, 0.5000)
Cu (0.5000, 0.0000, 0.0000)
Se (0.2305, 0.2305, 0.2305)
Se (0.7695, 0.7695, 0.2305)
Se (0.2305, 0.7695, 0.7695)
Se (0.7695, 0.2305, 0.7695)



(6)
K2Zr2CuSe6: relaxed, PBE.

Computed properties:
* N(E_F): 0.682 states/eV per atom
* space-group type: C2/m

Lattice parameters (Å, degrees): 6.7790 6.7790 8.2152 97.66 97.66 121.25
Site moments in Bohr magnetons follow the coordinates.
Atoms (fractional coordinates):
K (0.8373, 0.1627, 0.0000)  0.00
K (0.1627, 0.8373, 0.0000)  0.00
Zr (0.3304, 0.6696, 0.5000)  0.01
Zr (0.6696, 0.3304, 0.5000)  0.01
Cu (0.0000, 0.0000, 0.5000)  0.26
Se (0.7461, 0.7461, 0.6804)  0.08
Se (0.0694, 0.4048, 0.6962)  0.04
Se (0.2539, 0.2539, 0.3196)  0.08
Se (0.4048, 0.0694, 0.6962)  0.04
Se (0.9306, 0.5952, 0.3038)  0.04
Se (0.5952, 0.9306, 0.3038)  0.04



(7)
KZrCuSe3: relaxed, PBE.

Computed properties:
* N(E_F): 0.000 states/eV per atom
* space-group type: Cmcm

Lattice parameters (Å, degrees): 3.9148 7.7485 10.2465 90.00 90.00 104.65
Atoms (fractional coordinates):
K (0.7495, 0.4990, 0.7500)
K (0.2505, 0.5010, 0.2500)
Cu (0.4694, 0.9387, 0.7500)
Cu (0.5306, 0.0613, 0.2500)
Se (0.3781, 0.7563, 0.9455)
Se (0.9313, 0.8628, 0.2500)
Se (0.6219, 0.2437, 0.4455)
Se (0.6219, 0.2437, 0.0545)
Se (0.3781, 0.7563, 0.5545)
Se (0.0687, 0.1372, 0.7500)
Zr (0.0000, 0.0000, 0.0000)
Zr (0.0000, 0.0000, 0.5000)



(8)
K4Zr3CuSe8: relaxed, PBE.

Computed properties:
* N(E_F): 0.319 states/eV per atom
* space-group type: R-3m

Lattice parameters (Å, degrees): 7.9766 8.9172 7.9753 116.57 120.01 90.00
Atoms (fractional coordinates):
K (0.5000, 0.0000, 0.0000)
K (0.5000, 0.0000, 0.5000)
K (0.0000, 0.0000, 0.0000)
K (0.0000, 0.0000, 0.5000)
Zr (0.5000, 0.5000, 0.0000)
Zr (0.5000, 0.5000, 0.5000)
Zr (0.0000, 0.5000, 0.5000)
Cu (0.0000, 0.5000, 0.0000)
Se (0.2318, 0.6936, 0.9619)
Se (0.2316, 0.6935, 0.4632)
Se (0.2655, 0.2967, 0.5311)
Se (0.7301, 0.6936, 0.9619)
Se (0.2699, 0.3064, 0.0381)
Se (0.7345, 0.7033, 0.4689)
Se (0.7684, 0.3065, 0.5368)
Se (0.7682, 0.3064, 0.0381)



(9)
K3Zr2CuSe6: relaxed, PBE.

Computed properties:
* space-group type: C2/m

Lattice parameters (Å, degrees): 6.9921 6.9921 7.9148 98.07 98.07 121.14
Atoms (fractional coordinates):
K (0.1614, 0.8386, 0.5000)
K (0.8386, 0.1614, 0.5000)
K (0.5000, 0.5000, 0.5000)
Zr (0.3320, 0.6680, 0.0000)
Zr (0.6680, 0.3320, 0.0000)
Cu (0.0000, 0.0000, 0.0000)
Se (0.9355, 0.5906, 0.8013)
Se (0.7339, 0.7339, 0.1868)
Se (0.0645, 0.4094, 0.1987)
Se (0.5906, 0.9355, 0.8013)
Se (0.2661, 0.2661, 0.8132)
Se (0.4094, 0.0645, 0.1987)



(10)
KCuSi2: relaxed, PBE.

Computed properties:
* N(E_F): 0.178 states/eV per atom
* space-group type: I4_1/amd

Lattice parameters (Å, degrees): 4.9146 4.9146 8.8138 73.81 73.81 90.00
Atoms (fractional coordinates):
K (0.5000, 0.5000, 0.0000)
K (0.2500, 0.7500, 0.5000)
Si (0.8749, 0.1250, 0.2500)
Si (0.8751, 0.6250, 0.2500)
Si (0.3750, 0.1251, 0.7500)
Si (0.8750, 0.1249, 0.7500)
Cu (0.0000, 0.0000, 0.0000)
Cu (0.7500, 0.2500, 0.5000)



(11)
KCuSi2: relaxed, PBE.

Computed properties:
* N(E_F): 0.487 states/eV per atom
* space-group type: P4/mmm

Lattice parameters (Å, degrees): 4.0578 4.0625 4.6217 90.00 90.00 90.00
Atoms (fractional coordinates):
Cu (0.5000, 0.0000, 0.5000)
K (0.0000, 0.5000, 0.5000)
Si (0.0000, 0.0000, 0.0000)
Si (0.5000, 0.5000, 0.0000)



(12)
KCu2Si: relaxed, PBE.

Computed properties:
* N(E_F): 0.592 states/eV per atom
* space-group type: Immm

Lattice parameters (Å, degrees): 5.1665 5.1665 5.1665 133.54 110.99 87.30
Atoms (fractional coordinates):
Cu (0.0883, 0.0883, 0.0000)
Cu (0.4117, 0.4117, 0.0000)
K (0.7500, 0.2500, 0.5000)
Si (0.2500, 0.7500, 0.5000)



no.,E_form (uncorrected) (eV per formula unit)
1,-5.29
2,-12.17
3,-8.33
4,-3.41
5,-5.84
6,-11.75
7,-6.76
8,-18.88
9,-13.59
10,0.99
11,3.01
12,1.79